No. 1
{"formula": "AlSb2MoI", "functional": "PBE", "state": "optimized geometry", "lattice_angstrom": [[5.1733, 0.0000, 0.0000], [0.0000, 6.0101, 0.0000], [0.0000, 0.0000, 5.1733]], "species": ["Sb", "Sb", "Mo", "I", "Al"], "fractional_positions": [[0.5000, 0.0000, 0.0000], [0.0000, 0.0000, 0.5000], [0.0000, 0.0000, 0.0000], [0.0000, 0.5000, 0.0000], [0.5000, 0.5000, 0.5000]], "de_polymorph_mev_per_atom": 0.0, "e_tot_ev_per_fu": -21.33, "sg": "No. 123", "volume_a3_per_atom": 32.17, "raw_formation_energy_mev_per_atom": 607.6}

=====

No. 2
{"formula": "AlSb2MoI", "functional": "PBE", "state": "optimized geometry", "lattice_angstrom": [[5.2677, 0.0000, 0.0000], [0.0000, 5.4522, 0.0000], [0.0000, 0.0000, 5.2677]], "species": ["Sb", "Sb", "Al", "Mo", "I"], "fractional_positions": [[0.5000, 0.0000, 0.0000], [0.0000, 0.0000, 0.5000], [0.0000, 0.0000, 0.0000], [0.5000, 0.5000, 0.5000], [0.0000, 0.5000, 0.0000]], "de_polymorph_mev_per_atom": 496.4, "e_tot_ev_per_fu": -18.85, "sg": "No. 123", "volume_a3_per_atom": 30.26, "raw_formation_energy_mev_per_atom": 1103.9}

=====

No. 3
{"formula": "AlTe2MoI", "functional": "PBE", "state": "optimized geometry", "lattice_angstrom": [[5.2245, 0.0000, 0.0000], [0.0000, 5.2631, 0.0000], [0.0000, 0.0000, 5.2245]], "species": ["Al", "I", "Mo", "Te", "Te"], "fractional_positions": [[0.0000, 0.5000, 0.0000], [0.5000, 0.5000, 0.5000], [0.0000, 0.0000, 0.0000], [0.5000, 0.0000, 0.0000], [0.0000, 0.0000, 0.5000]], "de_polymorph_mev_per_atom": 0.0, "e_tot_ev_per_fu": -21.20, "sg": "No. 123", "volume_a3_per_atom": 28.73, "raw_formation_energy_mev_per_atom": 242.1}

=====

No. 4
{"formula": "AlTe2MoI", "functional": "PBE", "state": "optimized geometry", "lattice_angstrom": [[-3.3921, 1.7062, 3.6298], [-3.3839, -3.7694, -1.3905], [2.4234, -3.6426, 3.9769]], "species": ["Mo", "I", "Te", "Te", "Al"], "fractional_positions": [[0.0000, 0.0000, 0.0000], [0.0000, 0.0000, 0.5000], [0.5000, 0.0000, 0.0000], [0.0000, 0.5000, 0.0000], [0.5000, 0.5000, 0.5000]], "de_polymorph_mev_per_atom": 221.5, "e_tot_ev_per_fu": -20.09, "sg": "No. 123", "volume_a3_per_atom": 32.63, "raw_formation_energy_mev_per_atom": 463.6}

=====

No. 5
{"formula": "AlTe2MoI", "functional": "PBE", "state": "optimized geometry", "lattice_angstrom": [[-4.7216, -2.1678, 1.3731], [2.1911, -1.9091, 4.5203], [-1.3412, 4.5501, 2.5718]], "species": ["Mo", "Te", "Te", "I", "Al"], "fractional_positions": [[0.5000, 0.5000, 0.5000], [0.0000, 0.5000, 0.0000], [0.5000, 0.0000, 0.0000], [0.0000, 0.0000, 0.5000], [0.0000, 0.0000, 0.0000]], "de_polymorph_mev_per_atom": 608.9, "e_tot_ev_per_fu": -18.15, "sg": "No. 123", "volume_a3_per_atom": 31.16, "raw_formation_energy_mev_per_atom": 851.0}

=====

No. 6
{"formula": "Ti2AlMoI", "functional": "PBE", "state": "optimized geometry", "lattice_angstrom": [[-2.8273, 2.3696, -3.1136], [-0.6778, -4.3724, -2.7122], [-3.8616, -1.0709, 2.6915]], "species": ["Ti", "Ti", "Mo", "Al", "I"], "fractional_positions": [[0.5000, 0.0000, 0.0000], [0.0000, 0.0000, 0.5000], [0.0000, 0.0000, 0.0000], [0.5000, 0.5000, 0.5000], [0.0000, 0.5000, 0.0000]], "e_tot_ev_per_fu": -26.85, "sg": "No. 123", "volume_a3_per_atom": 24.19, "raw_formation_energy_mev_per_atom": 1013.3}